This record from Alexandria via LeMat-Bulk describes a relaxed structure of VAsO2. The functional is PBE with a Hubbard U.

a b c (Å): 5.8373 5.8373 5.8379
angles (deg): 60.00 60.00 90.00
Closest atoms and distances in Å follow each position.
Element x y z (fractional)
1 As 0.0000 0.0000 0.0000  12 O 3.42-3.43, 4 V 3.57, 4 As 3.57
2 As 0.7500 0.2500 0.5000  12 O 3.42-3.43, 4 V 3.57, 4 As 3.57
3 O 0.3737 0.1250 0.2500  2 V 1.79
4 O 0.3763 0.6250 0.2500  2 V 1.79
5 O 0.3750 0.6263 0.7500  2 V 1.79
6 O 0.8750 0.6237 0.7500  2 V 1.79
7 V 0.5000 0.5000 0.0000  4 O 1.79
8 V 0.2500 0.7500 0.5000  4 O 1.79

**E**: -25.19 eV/f.u.
**Magnetic moment**: 1.87 μB per cell